Version i
Compound: LiCdPd6
Source: the Alexandria database
Functional: GGA-PBE
Structure: optimized geometry

Unit cell a=5.623 b=5.623 c=4.583 alpha=90.00 beta=90.00 gamma=120.00
Fractional coordinates of all 8 atoms:
Li  0.000  0.000  0.000
Cd  0.333  0.667  0.500
Pd  0.331  0.166  0.500
Pd  0.502  0.004  0.000
Pd  0.502  0.498  0.000
Pd  0.834  0.166  0.500
Pd  0.834  0.669  0.500
Pd  0.996  0.498  0.000

## Properties
density of states at the Fermi level = 1.371 states/eV per atom
mass density = 10.02 g cm⁻³

=====

Version ii
Compound: LiCdPd6
Source: the Alexandria database
Functional: GGA-PBE
Structure: optimized geometry

Unit cell a=4.875 b=4.875 c=7.893 alpha=113.85 beta=113.85 gamma=47.85
Fractional coordinates of all 8 atoms:
Li  0.000  0.000  0.000
Cd  0.000  0.000  0.500
Pd  0.247  0.247  0.367
Pd  0.251  0.251  0.881
Pd  0.499  0.499  0.758
Pd  0.501  0.501  0.242
Pd  0.749  0.749  0.119
Pd  0.753  0.753  0.633

## Properties
density of states at the Fermi level = 1.354 states/eV per atom
mass density = 10.09 g cm⁻³

=====

Stability, highest: version ii

=====

Version i
Compound: LiCd8Pd2
Source: the Alexandria database
Functional: GGA-PBE
Structure: optimized geometry

Unit cell a=7.095 b=7.095 c=4.607 alpha=90.00 beta=90.00 gamma=105.45
Fractional coordinates of all 11 atoms:
Li  0.000  0.000  0.000
Cd  0.040  0.305  0.500
Cd  0.247  0.753  0.000
Cd  0.305  0.040  0.500
Cd  0.332  0.332  0.000
Cd  0.668  0.668  0.000
Cd  0.695  0.960  0.500
Cd  0.753  0.247  0.000
Cd  0.960  0.695  0.500
Pd  0.376  0.624  0.500
Pd  0.624  0.376  0.500

## Properties
density of states at the Fermi level = 0.311 states/eV per atom
mass density = 8.31 g cm⁻³

=====

Version ii
Compound: LiCd8Pd2
Source: the Alexandria database
Functional: GGA-PBE
Structure: optimized geometry

Unit cell a=7.825 b=7.825 c=5.565 alpha=96.47 beta=96.47 gamma=42.63
Fractional coordinates of all 11 atoms:
Li  0.000  0.000  0.000
Cd  0.151  0.656  0.600
Cd  0.224  0.224  0.823
Cd  0.344  0.849  0.400
Cd  0.419  0.419  0.116
Cd  0.581  0.581  0.884
Cd  0.656  0.151  0.600
Cd  0.776  0.776  0.177
Cd  0.849  0.344  0.400
Pd  0.257  0.257  0.325
Pd  0.743  0.743  0.675

## Properties
density of states at the Fermi level = 0.425 states/eV per atom
mass density = 8.11 g cm⁻³

=====

Stability, highest: version i